[1]
The following is a DFT calculation (PBE) of an optimized crystal structure of Al2Hg2Br7.

Unit cell a=8.4254 b=8.4254 c=18.2640 alpha=110.31 beta=110.31 gamma=102.64
Last column: nearest neighbours and their distance in Å.
Positions (direct):
Br 0.8334 0.0378 0.8398  1 Al 2.28
Br 0.6275 0.6154 0.6140  1 Al 2.35
Br 0.4157 0.1154 0.6773  1 Al 2.28
Br 0.1666 0.9622 0.1602  1 Al 2.28
Br 0.9622 0.1666 0.6602  1 Al 2.28
Br 0.6154 0.6275 0.1140  1 Al 2.35
Br 0.1470 0.8530 0.7500  2 Al 2.46
Br 0.0378 0.8334 0.3398  1 Al 2.28
Br 0.3725 0.3846 0.3860  1 Al 2.35
Br 0.8846 0.5843 0.8227  1 Al 2.28
Br 0.3846 0.3725 0.8860  1 Al 2.35
Br 0.5843 0.8846 0.3227  1 Al 2.28
Br 0.1154 0.4157 0.1773  1 Al 2.28
Br 0.8530 0.1470 0.2500  2 Al 2.46
Hg 0.5201 0.8436 0.5113  1 Hg 2.88, 1 Br 3.18
Hg 0.4799 0.1564 0.4887  1 Hg 2.88, 1 Br 3.18
Hg 0.8436 0.5201 0.0113  1 Hg 2.88, 1 Br 3.18
Hg 0.1564 0.4799 0.9887  1 Hg 2.88, 1 Br 3.18
Al 0.1403 0.2234 0.2393  4 Br 2.28-2.46
Al 0.8597 0.7766 0.7607  4 Br 2.28-2.46
Al 0.7766 0.8597 0.2607  4 Br 2.28-2.46
Al 0.2234 0.1403 0.7393  4 Br 2.28-2.46

Summary:
* M_tot: 0.000 μB per atom
* formation energy without anion corrections: -822 meV per atom
* final energy: -2.6220 eV/atom

=====

[2]
The following is a DFT calculation (PBE) of an optimized crystal structure of AlHg2Br.

Unit cell a=5.3884 b=5.3884 c=5.3884 alpha=60.00 beta=60.00 gamma=60.00
Last column: nearest neighbours and their distance in Å.
Positions (direct):
Hg 0.7500 0.7500 0.7500  4 Br 3.30, 4 Al 3.30
Hg 0.2500 0.2500 0.2500  4 Br 3.30, 4 Al 3.30
Br 0.5000 0.5000 0.5000  8 Hg 3.30
Al 0.0000 0.0000 0.0000  8 Hg 3.30

Summary:
* excess energy over the best structure of this formula in the dataset: 270 meV/atom
* M_tot: 0.000 μB per atom
* formation energy without anion corrections: 86 meV per atom
* final energy: -1.4190 eV/atom

=====

[3]
The following is a DFT calculation (PBE) of an optimized crystal structure of AlHg2Br.

Unit cell a=3.5270 b=3.5270 c=10.6747 alpha=90.00 beta=90.00 gamma=119.77
Last column: nearest neighbours and their distance in Å.
Positions (direct):
Hg 0.0000 0.0000 0.0244  8 Hg 3.32-3.54
Hg 0.5000 0.5000 0.2877  2 Al 2.93
Al 0.0000 0.0000 0.5060  2 Br 2.58
Br 0.5000 0.5000 0.6819  2 Al 2.58

Summary:
* excess energy over the best structure of this formula in the dataset: 96 meV/atom
* M_tot: 0.000 μB per atom
* formation energy without anion corrections: -88 meV per atom
* final energy: -1.5931 eV/atom

=====

Q: Which value of formation energy without anion corrections does entry 2 give?
A: 86 meV per atom

=====

Q: What is the formula in the second record?
A: AlHg2Br

=====

What did the first record say?
The following is a DFT calculation (PBE) of an optimized crystal structure of Al2Hg2Br7.

Unit cell a=8.4254 b=8.4254 c=18.2640 alpha=110.31 beta=110.31 gamma=102.64
Last column: nearest neighbours and their distance in Å.
Positions (direct):
Br 0.8334 0.0378 0.8398  1 Al 2.28
Br 0.6275 0.6154 0.6140  1 Al 2.35
Br 0.4157 0.1154 0.6773  1 Al 2.28
Br 0.1666 0.9622 0.1602  1 Al 2.28
Br 0.9622 0.1666 0.6602  1 Al 2.28
Br 0.6154 0.6275 0.1140  1 Al 2.35
Br 0.1470 0.8530 0.7500  2 Al 2.46
Br 0.0378 0.8334 0.3398  1 Al 2.28
Br 0.3725 0.3846 0.3860  1 Al 2.35
Br 0.8846 0.5843 0.8227  1 Al 2.28
Br 0.3846 0.3725 0.8860  1 Al 2.35
Br 0.5843 0.8846 0.3227  1 Al 2.28
Br 0.1154 0.4157 0.1773  1 Al 2.28
Br 0.8530 0.1470 0.2500  2 Al 2.46
Hg 0.5201 0.8436 0.5113  1 Hg 2.88, 1 Br 3.18
Hg 0.4799 0.1564 0.4887  1 Hg 2.88, 1 Br 3.18
Hg 0.8436 0.5201 0.0113  1 Hg 2.88, 1 Br 3.18
Hg 0.1564 0.4799 0.9887  1 Hg 2.88, 1 Br 3.18
Al 0.1403 0.2234 0.2393  4 Br 2.28-2.46
Al 0.8597 0.7766 0.7607  4 Br 2.28-2.46
Al 0.7766 0.8597 0.2607  4 Br 2.28-2.46
Al 0.2234 0.1403 0.7393  4 Br 2.28-2.46

Summary:
* M_tot: 0.000 μB per atom
* formation energy without anion corrections: -822 meV per atom
* final energy: -2.6220 eV/atom

=====

Copy entry 3 word for word.
The following is a DFT calculation (PBE) of an optimized crystal structure of AlHg2Br.

Unit cell a=3.5270 b=3.5270 c=10.6747 alpha=90.00 beta=90.00 gamma=119.77
Last column: nearest neighbours and their distance in Å.
Positions (direct):
Hg 0.0000 0.0000 0.0244  8 Hg 3.32-3.54
Hg 0.5000 0.5000 0.2877  2 Al 2.93
Al 0.0000 0.0000 0.5060  2 Br 2.58
Br 0.5000 0.5000 0.6819  2 Al 2.58

Summary:
* excess energy over the best structure of this formula in the dataset: 96 meV/atom
* M_tot: 0.000 μB per atom
* formation energy without anion corrections: -88 meV per atom
* final energy: -1.5931 eV/atom